Record 1
{"formula": "RbTaGa2Au", "functional": "GGA-PBEsol", "state": "optimized geometry", "lattice": [[5.183, 0.000, 0.000], [0.000, 5.183, 0.000], [0.000, 0.000, 5.298]], "species": ["Rb", "Ta", "Ga", "Ga", "Au"], "fractional_positions": [[0.000, 0.000, 0.000], [0.500, 0.500, 0.500], [0.000, 0.500, 0.000], [0.500, 0.000, 0.000], [0.000, 0.000, 0.500]], "formation_enthalpy_0k_mev_per_atom": 2181.9, "crystal_system": "tetragonal"}

Record 2
{"formula": "Ga3RhAu", "functional": "GGA-PBEsol", "state": "optimized geometry", "lattice": [[4.676, 0.000, 0.000], [0.000, 4.676, 0.000], [0.000, 0.000, 4.676]], "species": ["Ga", "Ga", "Ga", "Rh", "Au"], "fractional_positions": [[0.000, 0.000, 0.500], [0.000, 0.500, 0.000], [0.500, 0.000, 0.000], [0.000, 0.000, 0.000], [0.500, 0.500, 0.500]], "formation_enthalpy_0k_mev_per_atom": -39.4, "crystal_system": "cubic"}

Record 3
{"formula": "GaSb2Au", "functional": "GGA-PBEsol", "state": "optimized geometry", "lattice": [[-3.078, 3.078, 6.012], [3.078, -3.078, 6.012], [3.078, 3.078, -6.012]], "species": ["Ga", "Ga", "Sb", "Sb", "Sb", "Sb", "Au", "Au"], "fractional_positions": [[0.000, 0.000, 0.000], [0.750, 0.250, 0.500], [0.126, 0.625, 0.001], [0.375, 0.376, 0.501], [0.624, 0.125, 0.999], [0.875, 0.874, 0.499], [0.250, 0.750, 0.500], [0.500, 0.500, 0.000]], "raw_formation_energy_mev_per_atom": 51, "crystal_system": "tetragonal"}

Record 4
{"formula": "GaSbAu2", "functional": "GGA-PBEsol", "state": "optimized geometry", "lattice": [[-2.250, 2.250, 8.362], [2.250, -2.250, 8.362], [2.250, 2.250, -8.362]], "species": ["Ga", "Ga", "Sb", "Sb", "Au", "Au", "Au", "Au"], "fractional_positions": [[0.000, 0.000, 0.000], [0.750, 0.250, 0.500], [0.250, 0.750, 0.500], [0.500, 0.500, 0.000], [0.089, 0.625, 0.964], [0.375, 0.339, 0.464], [0.661, 0.125, 0.036], [0.875, 0.911, 0.536]], "raw_formation_energy_mev_per_atom": -42, "crystal_system": "tetragonal"}

| no. | DOS at the Fermi energy (states/eV/f.u.) | energy (eV per atom) |
| --- | --- | --- |
| 1 | 5.65 | -2.65 |
| 2 | 1.84 | -4.46 |
| 3 | 1.89 | -4.04 |
| 4 | 1.58 | -3.98 |